(1)
A plane-wave DFT calculation with PBE was carried out for a relaxed TiFeAs crystal.

The structure in CIF format:
```
data_TiFeAs
_chemical_formula_sum 'Ti2 Fe2 As2'
_symmetry_space_group_name_H-M 'P 4/n m m'
_symmetry_Int_Tables_number 129
_cell_length_a 3.6647
_cell_length_b 3.6647
_cell_length_c 6.2405
_cell_angle_alpha 90.00
_cell_angle_beta 90.00
_cell_angle_gamma 90.00
loop_
_symmetry_equiv_pos_as_xyz
'x,y,z'
'-x,-y,-z'
'-y+1/2,x,z'
'y+1/2,-x,-z'
'-x+1/2,-y+1/2,z'
'x+1/2,y+1/2,-z'
'y,-x+1/2,z'
'-y,x+1/2,-z'
'x+1/2,-y,-z'
'-x+1/2,y,z'
'-y,-x,-z'
'y,x,z'
'-x,y+1/2,-z'
'x,-y+1/2,z'
'y+1/2,x+1/2,-z'
'-y+1/2,-x+1/2,z'
loop_
_atom_site_label
_atom_site_type_symbol
_atom_site_fract_x
_atom_site_fract_y
_atom_site_fract_z
Ti1 Ti 0.2500 0.2500 0.1752
Fe1 Fe 0.2500 0.7500 0.5000
As1 As 0.2500 0.2500 0.7538
```

Calculated values
M_tot   1.46 μB/cell
Crystal system   tetragonal
ΔE_f   -0.654 eV per atom
Theoretical density   7.08 g/cm³
Fermi-level density of states   5.1 states/eV/cell
Calculated volume   84 Å³/cell

=====

(2)
A plane-wave DFT calculation with PBE was carried out for a relaxed SrLi2PmGe2 crystal.

The structure in CIF format:
```
data_SrLi2PmGe2
_chemical_formula_sum 'Sr1 Li2 Pm1 Ge2'
_symmetry_space_group_name_H-M 'P -3 m 1'
_symmetry_Int_Tables_number 164
_symmetry_space_group_name_Hall '-P 3 2"'
_cell_length_a 4.6078
_cell_length_b 4.6078
_cell_length_c 7.7240
_cell_angle_alpha 90.00
_cell_angle_beta 90.00
_cell_angle_gamma 120.00
loop_
_atom_site_label
_atom_site_type_symbol
_atom_site_fract_x
_atom_site_fract_y
_atom_site_fract_z
Sr1 Sr 0.0000 0.0000 0.0000
Li1 Li 0.3333 0.6667 0.7085
Pm1 Pm 0.0000 0.0000 0.5000
Ge1 Ge 0.3333 0.6667 0.2884
```

Calculated values
M_tot   0.00 μB/cell
Crystal system   trigonal
ΔE_f   -0.576 eV per atom
Theoretical density   4.58 g/cm³
Fermi-level density of states   2.3 states/eV/cell
Calculated volume   142 Å³/cell

=====

(3)
A plane-wave DFT calculation with PBE was carried out for a relaxed K4IrRu crystal.

The structure in CIF format:
```
data_K4IrRu
_chemical_formula_sum 'K16 Ir4 Ru4'
_symmetry_space_group_name_H-M 'F -4 3 m'
_symmetry_Int_Tables_number 216
_symmetry_space_group_name_Hall 'F -4 2 3'
_cell_length_a 8.8310
_cell_length_b 8.8310
_cell_length_c 8.8310
_cell_angle_alpha 90.00
_cell_angle_beta 90.00
_cell_angle_gamma 90.00
loop_
_atom_site_label
_atom_site_type_symbol
_atom_site_fract_x
_atom_site_fract_y
_atom_site_fract_z
K1 K 0.1254 0.1254 0.1254
Ir1 Ir 0.0000 0.0000 0.5000
Ru1 Ru 0.2500 0.2500 0.7500
```

Calculated values
M_tot   11.51 μB/cell
Crystal system   cubic
ΔE_f   1.509 eV per atom
Theoretical density   4.34 g/cm³
Fermi-level density of states   24.3 states/eV/cell
Calculated volume   689 Å³/cell

=====

> Among the records above, which one has the highest theoretical density?

TiFeAs